Record 1
Computed, not measured: a crystal of CoBiO4 relaxed with PBEsol at the meta-GGA SCAN level of DFT.

Cell and atoms, written as extended XYZ:
```
12
Lattice="-1.011 5.326 1.381 -0.368 1.309 6.009 4.788 3.333 1.983" Properties=species:S:1:pos:R:3 pbc="T T T"
Co -0.690 3.318 3.695
Co -0.184 0.655 3.005
Bi 0.000 0.000 0.000
Bi 2.210 2.321 3.996
O 2.914 6.784 4.231
O 3.413 4.950 6.071
O 2.902 7.613 6.756
O 0.506 2.355 2.618
O -0.004 5.018 3.304
O -0.006 5.816 5.826
O 3.414 4.152 3.548
O 0.494 3.184 5.144
```

Output
Spin magnetization (Bohr magnetons per cell): 0.00
ΔE_f (raw) (eV per atom): -0.961



Record 2
Computed, not measured: a crystal of La3Dy relaxed with PBEsol at the meta-GGA SCAN level of DFT.

Cell and atoms, written as extended XYZ:
```
4
Lattice="5.084 0.000 0.000 0.000 5.084 0.000 -2.542 -2.542 5.083" Properties=species:S:1:pos:R:3 pbc="T T T"
Dy 0.000 0.000 0.000
La 0.000 2.542 2.542
La 2.542 0.000 2.542
La 2.542 2.542 0.000
```

Output
Spin magnetization (Bohr magnetons per cell): 0.00
Formation energy (eV/atom): 0.02



Record 3
Computed, not measured: a crystal of LiCd2Ir relaxed with PBEsol at the meta-GGA SCAN level of DFT.

Cell and atoms, written as extended XYZ:
```
4
Lattice="-2.683 -0.145 0.798 0.271 -2.006 -4.376 1.038 -4.309 2.710" Properties=species:S:1:pos:R:3 pbc="T T T"
Cd -0.261 -2.078 -1.257
Cd -1.113 -4.381 0.388
Li 0.519 -2.155 1.355
Ir -1.341 -0.072 0.399
```

Output
Spin magnetization (Bohr magnetons per cell): 0.52
Formation energy (eV/atom): -0.01



Record 4
Computed, not measured: a crystal of NaBP2O relaxed with PBEsol at the meta-GGA SCAN level of DFT.

Cell and atoms, written as extended XYZ:
```
5
Lattice="3.962 0.000 0.000 0.000 3.962 0.000 0.000 0.000 4.257" Properties=species:S:1:pos:R:3 pbc="T T T"
O 0.000 0.000 2.128
Na 1.981 1.981 2.128
P 0.000 1.981 0.000
P 1.981 0.000 0.000
B 0.000 0.000 0.000
```

Output
Spin magnetization (Bohr magnetons per cell): 0.00
ΔE_f (raw) (eV per atom): 0.561



Record 5
Computed, not measured: a crystal of ZnCo2Re relaxed with PBEsol at the meta-GGA SCAN level of DFT.

Cell and atoms, written as extended XYZ:
```
4
Lattice="-0.813 1.335 2.069 0.276 -3.596 2.429 3.908 1.879 0.323" Properties=species:S:1:pos:R:3 pbc="T T T"
Re -0.407 0.668 1.034
Zn 1.685 -0.190 2.410
Co 0.138 -1.798 1.215
Co 1.954 0.940 0.161
```

Output
Spin magnetization (Bohr magnetons per cell): 0.00
Formation energy (eV/atom): 0.22



Record 6
Computed, not measured: a crystal of TePd3Se relaxed with PBEsol at the meta-GGA SCAN level of DFT.

Cell and atoms, written as extended XYZ:
```
5
Lattice="-2.704 -3.606 -1.868 -1.160 -1.466 4.507 -3.892 2.942 -0.045" Properties=species:S:1:pos:R:3 pbc="T T T"
Pd -1.352 -1.803 -0.934
Pd -1.946 1.471 -0.022
Pd -0.580 -0.733 2.253
Se -3.878 -1.065 1.297
Te 0.000 0.000 0.000
```

Output
Spin magnetization (Bohr magnetons per cell): 0.00
ΔE_f (raw) (eV per atom): 0.487



Record 7
Computed, not measured: a crystal of Li3MnBi relaxed with PBEsol at the meta-GGA SCAN level of DFT.

Cell and atoms, written as extended XYZ:
```
5
Lattice="5.180 0.000 0.000 0.000 5.180 0.000 0.000 0.000 5.180" Properties=species:S:1:pos:R:3 pbc="T T T"
Mn 2.590 2.590 2.590
Li 0.000 2.590 0.000
Li 0.000 0.000 2.590
Li 2.590 0.000 0.000
Bi 0.000 0.000 0.000
```

Output
Spin magnetization (Bohr magnetons per cell): 5.04
Formation energy (eV/atom): 0.19



Record 8
Computed, not measured: a crystal of TeRuRh3 relaxed with PBEsol at the meta-GGA SCAN level of DFT.

Cell and atoms, written as extended XYZ:
```
5
Lattice="-1.470 1.643 -4.048 -4.366 -0.686 1.307 -0.137 4.251 1.776" Properties=species:S:1:pos:R:3 pbc="T T T"
Ru 0.000 0.000 0.000
Rh -0.735 0.822 -2.024
Rh -2.183 -0.343 0.653
Rh -0.068 2.126 0.888
Te -2.986 2.604 -0.482
```

Output
Spin magnetization (Bohr magnetons per cell): 0.00
ΔE_f (raw) (eV per atom): 1.201